A plane-wave DFT calculation with GGA-PBE was carried out for a geometry-optimized YRu2C structure.

It has space group Cmmm (No. 65), with a = 4.8460 Å, b = 8.0056 Å, c = 3.1732 Å, α = 90.00°, β = 90.00° and γ = 90.00°. Symmetry generates all atoms from Y at (0.0000, 0.0000, 0.0000), Ru at (0.0000, 0.3371, 0.5000) and C at (0.0000, 0.5000, 0.0000).

For the formation energy, the calculation gives -0.0526 eV per atom. The value obtained for the total energy is -68.9 eV for the cell shown.



A plane-wave DFT calculation with GGA-PBE was carried out for a geometry-optimized CdPt3Br structure.

It has space group Pm-3m (No. 221), with a = 4.7839 Å, b = 4.7839 Å, c = 4.7839 Å, α = 90.00°, β = 90.00° and γ = 90.00°. Symmetry generates all atoms from Cd at (0.0000, 0.0000, 0.0000), Pt at (0.0000, 0.5000, 0.5000) and Br at (0.5000, 0.5000, 0.5000).

The value obtained for the uncorrected formation energy is 961 meV/atom. The value obtained for the total energy is -15.9 eV for the cell shown. The polymorph energy (0 for the lowest one) is 0 meV per atom.



A plane-wave DFT calculation with GGA-PBE was carried out for a geometry-optimized Pr6Nd2DyMg structure.

It has space group C2/c (No. 15), with a = 9.4470 Å, b = 14.8817 Å, c = 10.0376 Å, α = 90.00°, β = 101.00° and γ = 90.00°. Symmetry generates all atoms from Pr at (0.0660, 0.1859, 0.4493), Pr at (0.1012, 0.4036, 0.6133), Pr at (0.2118, 0.2137, 0.8076), Nd at (0.2419, 0.0438, 0.0548), Dy at (0.0000, 0.0135, 0.7500) and Mg at (0.0000, 0.4031, 0.2500).

For the formation energy, the calculation gives 0.1051 eV per atom. The value obtained for the total energy is -173.4 eV for the cell shown.



A plane-wave DFT calculation with GGA-PBE was carried out for a geometry-optimized YPW structure.

It has space group I4mm (No. 107), with a = 3.2579 Å, b = 3.2579 Å, c = 10.5506 Å, α = 90.00°, β = 90.00° and γ = 90.00°. Symmetry generates all atoms from Y at (0.0000, 0.0000, 0.0000), P at (0.0000, 0.0000, 0.6995) and W at (0.0000, 0.0000, 0.2940).

For the formation energy, the calculation gives -0.3557 eV per atom. The value obtained for the total energy is -51.8 eV for the cell shown. The polymorph energy (0 for the lowest one) is 295 meV per atom.